First-principles (PBE+U) data for CrPd2BrO after structural relaxation, as listed in Alexandria.

Computed properties:
- Crystal system: tetragonal
- Final energy: -5.0446 eV per atom
- M_tot: 3.8 Bohr magnetons per cell

Lattice parameters (Å, degrees): 4.5453 4.5453 4.0175 90.00 90.00 90.00
Space group P4/mmm (No. 123)
One atom of each set of equivalent atoms:
Cr 0.0000 0.0000 0.0000 [1 per cell]
Pd 0.0000 0.5000 0.5000 [2 per cell]
Br 0.5000 0.5000 0.0000 [1 per cell]
O 0.0000 0.0000 0.5000 [1 per cell]